i) Here is U2InOs after structural relaxation from the Alexandria database. Energies are from PBE-GGA.

- DOS(E_F) (states/eV/cell) = 13.09

```
U2InOs
1.0
3.901 0.000 0.000
1.950 3.378 0.000
1.950 1.126 7.909
U Os In
2 1 1
Cartesian
1.950 1.126 1.532 U
5.851 3.378 6.377 U
0.000 0.000 0.000 Os
3.901 2.252 3.955 In
```



ii) Here is U2InOs after structural relaxation from the Alexandria database. Energies are from PBE-GGA.

- DOS(E_F) (states/eV/cell) = 7.34

```
U2InOs
1.0
-1.387 1.965 2.826
-3.044 -2.123 -0.018
2.773 -4.012 4.150
In Os U
1 1 2
Cartesian
-0.829 -2.085 3.479 In
-2.215 -0.079 1.404 Os
0.537 -0.776 0.803 U
2.236 -3.236 3.347 U
```



It is ii) that is the most stable of them.



i) Here is Y6InOs after structural relaxation from the Alexandria database. Energies are from PBE-GGA.

- DOS(E_F) (states/eV/cell) = 11.19

```
Y6InOs
1.0
6.895 0.009 0.001
3.440 5.986 0.008
3.431 1.988 6.440
Os In Y
1 1 6
Cartesian
0.000 0.000 0.000 Os
6.883 3.991 3.225 In
5.590 1.769 1.576 Y
9.458 3.980 1.578 Y
4.308 4.002 4.872 Y
8.176 6.213 4.874 Y
5.618 6.234 1.582 Y
8.149 1.748 4.868 Y
```



ii) Here is Y6InOs after structural relaxation from the Alexandria database. Energies are from PBE-GGA.

- DOS(E_F) (states/eV/cell) = 9.43

```
Y6InOs
1.0
4.799 0.000 1.445
-0.436 4.779 1.446
-0.273 -0.299 9.596
Y Os In
6 1 1
Cartesian
0.000 2.629 8.687 Y
0.965 1.056 5.488 Y
3.126 3.424 6.998 Y
2.617 0.239 8.687 Y
4.091 1.852 3.799 Y
1.474 4.241 3.800 Y
0.000 0.000 0.000 Os
2.182 2.390 1.445 In
```



It is ii) that is the most stable of them.



i) Here is Y3InOs after structural relaxation from the Alexandria database. Energies are from PBE-GGA.

- DOS(E_F) (states/eV/cell) = 3.75

```
Y3InOs
1.0
-0.019 3.665 -3.911
-4.483 2.134 2.021
2.939 3.278 3.058
Y Os In
3 1 1
Cartesian
-0.009 1.833 -1.956 Y
-2.241 1.067 1.011 Y
1.469 1.639 1.529 Y
0.000 0.000 0.000 Os
-0.781 4.539 0.584 In
```



ii) Here is Y3InOs after structural relaxation from the Alexandria database. Energies are from PBE-GGA.

- DOS(E_F) (states/eV/cell) = 6.45

```
Y3InOs
1.0
5.709 0.155 -1.199
-2.566 5.102 -1.198
-0.046 -0.077 8.797
Y In Os
6 2 2
Cartesian
-0.347 4.117 -0.450 Y
2.486 3.043 0.909 Y
3.444 1.063 6.849 Y
3.165 4.179 4.292 Y
0.612 2.137 5.490 Y
-0.068 1.001 2.108 Y
3.490 1.139 3.297 In
-0.392 4.041 3.102 In
2.357 3.943 -1.798 Os
0.786 1.314 -0.599 Os
```



It is ii) that is the most stable of them.



i) Here is YIn3Os after structural relaxation from the Alexandria database. Energies are from PBE-GGA.

- DOS(E_F) (states/eV/cell) = 7.61

```
YIn3Os
1.0
5.709 0.000 0.000
0.000 5.709 0.000
0.000 0.000 5.709
In Os Y
3 1 1
Cartesian
0.000 2.855 0.000 In
0.000 0.000 2.855 In
2.855 0.000 0.000 In
2.855 2.855 2.855 Os
0.000 0.000 0.000 Y
```



ii) Here is YIn3Os after structural relaxation from the Alexandria database. Energies are from PBE-GGA.

- DOS(E_F) (states/eV/cell) = 2.81

```
YIn3Os
1.0
-1.853 -3.727 2.987
-2.461 -2.001 -4.023
4.094 -2.890 -1.067
In Y Os
3 1 1
Cartesian
2.047 -1.445 -0.533 In
-1.231 -1.001 -2.012 In
-0.926 -1.864 1.494 In
-0.110 -4.309 -1.052 Y
0.000 0.000 0.000 Os
```



It is ii) that is the most stable of them.



i) Here is ZnInOs after structural relaxation from the Alexandria database. Energies are from PBE-GGA.

- DOS(E_F) (states/eV/cell) = 3.03

```
ZnInOs
1.0
-0.138 7.157 -1.725
0.032 5.716 -4.227
-2.623 0.968 0.736
Zn In Os
1 1 1
Cartesian
-0.916 9.043 -3.800 Zn
-0.119 12.814 -5.918 In
-1.801 4.859 -1.449 Os
```



ii) Here is ZnInOs after structural relaxation from the Alexandria database. Energies are from PBE-GGA.

- DOS(E_F) (states/eV/cell) = 2.46

```
ZnInOs
1.0
5.103 0.001 0.006
2.769 4.287 -0.006
-3.551 -2.852 2.303
In Zn Os
1 1 1
Cartesian
0.034 0.018 0.000 In
2.460 1.340 0.000 Zn
5.379 2.930 0.000 Os
```



It is ii) that is the most stable of them.



i) Here is ZnInOs after structural relaxation from the Alexandria database. Energies are from PBE-GGA.

- DOS(E_F) (states/eV/cell) = 2.00

```
ZnInOs
1.0
4.411 0.000 0.000
-2.205 3.820 0.000
0.000 0.000 2.998
Zn Os In
1 1 1
Cartesian
0.000 2.547 1.496 Zn
2.205 1.273 1.501 Os
0.000 0.000 0.001 In
```



ii) Here is ZnInOs after structural relaxation from the Alexandria database. Energies are from PBE-GGA.

- DOS(E_F) (states/eV/cell) = 2.74

```
ZnInOs
1.0
2.964 0.000 0.000
-1.482 2.566 0.000
0.000 0.000 6.758
In Zn Os
1 1 1
Cartesian
0.000 0.000 0.070 In
0.000 1.711 4.347 Zn
1.482 0.855 2.341 Os
```



iii) Here is ZnInOs after structural relaxation from the Alexandria database. Energies are from PBE-GGA.

- DOS(E_F) (states/eV/cell) = 2.29

```
ZnInOs
1.0
-0.227 4.325 -2.822
-3.602 3.695 0.305
3.186 -2.902 2.855
In Zn Os
1 1 1
Cartesian
-3.811 7.982 -2.505 In
-2.632 5.513 -1.730 Zn
-1.215 2.545 -0.799 Os
```



It is iii) that is the most stable of them.



i) Here is ZrInOs3 after structural relaxation from the Alexandria database. Energies are from PBE-GGA.

- DOS(E_F) (states/eV/cell) = 4.19

```
ZrInOs3
1.0
4.753 0.000 0.000
0.000 4.753 0.000
0.000 0.000 4.753
Zr Os In
1 3 1
Cartesian
2.377 2.377 2.377 Zr
0.000 2.377 0.000 Os
0.000 0.000 2.377 Os
2.377 0.000 0.000 Os
0.000 0.000 0.000 In
```



ii) Here is ZrInOs3 after structural relaxation from the Alexandria database. Energies are from PBE-GGA.

- DOS(E_F) (states/eV/cell) = 7.11

```
ZrInOs3
1.0
-4.247 -1.237 1.986
1.538 -4.578 0.436
1.764 1.012 4.402
In Zr Os
1 1 3
Cartesian
-0.473 -2.401 3.412 In
0.000 0.000 0.000 Zr
0.769 -2.289 0.218 Os
-2.123 -0.619 0.993 Os
0.882 0.506 2.201 Os
```



It is i) that is the most stable of them.



i) Here is In3P2 after structural relaxation from the Alexandria database. Energies are from PBE-GGA.

- DOS(E_F) (states/eV/cell) = 1.03

```
In3P2
1.0
-5.513 0.059 -6.799
-7.666 -1.589 -3.916
-7.345 2.349 -4.142
P In
2 3
Cartesian
-12.376 0.494 -8.960 P
-8.147 0.325 -5.898 P
-16.171 0.645 -11.707 In
0.000 0.000 0.000 In
-4.353 0.174 -3.151 In
```



ii) Here is In3P2 after structural relaxation from the Alexandria database. Energies are from PBE-GGA.

- DOS(E_F) (states/eV/cell) = 2.42

```
In3P2
1.0
0.000 6.093 7.903
2.965 0.000 7.903
2.965 6.093 0.000
In P
6 4
Cartesian
2.834 7.296 11.015 In
0.744 3.046 3.951 In
2.834 4.890 4.791 In
1.351 4.249 8.742 In
5.192 6.093 7.903 In
1.351 7.937 7.063 In
1.983 7.339 4.634 P
1.983 4.847 11.171 P
3.466 7.893 8.585 P
3.466 4.292 7.220 P
```



It is i) that is the most stable of them.